No. 1
Entry from the Alexandria database: a geometry-optimized TaAs2F structure (PBE).

abc: 4.5088 4.5088 4.5088
angles: 60.00 60.00 60.00
Last column: nearest neighbours and their distance in Å.
Sites, in units of the cell vectors:
Ta: 0.0000 0.0000 0.0000  8 As 2.76
As: 0.2500 0.2500 0.2500  4 F 2.76, 4 Ta 2.76
As: 0.7500 0.7500 0.7500  4 F 2.76, 4 Ta 2.76
F: 0.5000 0.5000 0.5000  8 As 2.76

* formation energy without anion corrections: -1.00 eV/f.u.
* DOS at the Fermi energy: 1.79 states/eV/cell
* calculated density: 9.0 g/cm3
* total moment: 0.00 μB per formula unit
* polymorph energy (0 for the lowest one): 0 meV/atom

=====

No. 2
Entry from the Alexandria database: a geometry-optimized Ta2AsF structure (PBE).

abc: 5.4828 5.4828 5.4828
angles: 105.62 105.62 117.49
Last column: nearest neighbours and their distance in Å.
Sites, in units of the cell vectors:
Ta: 0.0620 0.1250 0.4370  2 F 2.19
Ta: 0.3750 0.9380 0.0630  2 F 2.19
Ta: 0.6880 0.6250 0.5630  2 F 2.19
Ta: 0.8750 0.3120 0.9370  2 F 2.19
As: 0.2500 0.7500 0.5000  8 Ta 2.75-2.97, 2 F 2.84
As: 0.5000 0.5000 0.0000  8 Ta 2.75-2.97, 2 F 2.84
F: 0.0000 0.0000 0.0000  4 Ta 2.19
F: 0.7500 0.2500 0.5000  4 Ta 2.19

* formation energy without anion corrections: -1.37 eV/f.u.
* DOS at the Fermi energy: 3.19 states/eV/cell
* calculated density: 12.1 g/cm3
* total moment: 0.00 μB per formula unit
* polymorph energy (0 for the lowest one): 98 meV/atom

=====

No. 3
Entry from the Alexandria database: a geometry-optimized TaAsF2 structure (PBE).

abc: 8.1398 8.1398 8.1398
angles: 152.66 152.66 39.04
Last column: nearest neighbours and their distance in Å.
Sites, in units of the cell vectors:
Ta: 0.0000 0.0000 0.0000  4 F 2.22
Ta: 0.7500 0.2500 0.5000  4 F 2.22
As: 0.2500 0.7500 0.5000  4 F 2.53, 4 Ta 2.72
As: 0.5000 0.5000 0.0000  4 F 2.53, 4 Ta 2.72
F: 0.0279 0.6250 0.9029  2 Ta 2.22, 2 F 2.25
F: 0.3750 0.2779 0.4029  2 Ta 2.22, 2 F 2.25
F: 0.7221 0.1250 0.0971  2 Ta 2.22, 2 F 2.25
F: 0.8750 0.9721 0.5971  2 Ta 2.22, 2 F 2.25

* formation energy without anion corrections: -4.69 eV/f.u.
* DOS at the Fermi energy: 4.44 states/eV/cell
* calculated density: 8.6 g/cm3
* total moment: 0.00 μB per formula unit
* polymorph energy (0 for the lowest one): 85 meV/atom

=====

No. 4
Entry from the Alexandria database: a geometry-optimized TbAs2F8 structure (PBE).

abc: 6.0133 6.0133 5.7992
angles: 90.87 90.87 53.55
Last column: nearest neighbours and their distance in Å.
Sites, in units of the cell vectors:
Tb: 0.0000 0.0000 0.0000  6 F 2.15-2.30
As: 0.2426 0.2426 0.5975  3 F 1.84-1.97
As: 0.7574 0.7574 0.4025  3 F 1.84-1.97
F: 0.0786 0.6374 0.2093  1 As 1.97
F: 0.0981 0.0981 0.3269  1 Tb 2.15, 1 As 2.19
F: 0.3626 0.9214 0.7907  1 As 1.97
F: 0.3708 0.3708 0.8119  1 As 1.84
F: 0.6292 0.6292 0.1881  1 As 1.84
F: 0.6374 0.0786 0.2093  1 As 1.97
F: 0.9019 0.9019 0.6731  1 Tb 2.15, 1 As 2.19
F: 0.9214 0.3626 0.7907  1 As 1.97

* formation energy without anion corrections: -28.02 eV/f.u.
* DOS at the Fermi energy: 2.42 states/eV/cell
* calculated density: 4.5 g/cm3
* total moment: 0.00 μB per formula unit

=====

No. 5
Entry from the Alexandria database: a geometry-optimized TcAsF3 structure (PBE).

abc: 4.3830 4.3830 4.3830
angles: 90.00 90.00 90.00
Last column: nearest neighbours and their distance in Å.
Sites, in units of the cell vectors:
Tc: 0.0000 0.0000 0.0000  12 F 3.10
As: 0.5000 0.5000 0.5000  6 F 2.19
F: 0.0000 0.5000 0.5000  2 As 2.19
F: 0.5000 0.0000 0.5000  2 As 2.19
F: 0.5000 0.5000 0.0000  2 As 2.19

* formation energy without anion corrections: -1.65 eV/f.u.
* DOS at the Fermi energy: 6.75 states/eV/cell
* calculated density: 4.5 g/cm3
* total moment: 4.73 μB per formula unit
* polymorph energy (0 for the lowest one): 216 meV/atom

=====

No. 6
Entry from the Alexandria database: a geometry-optimized TcAs3F structure (PBE).

abc: 4.4406 4.4406 4.4406
angles: 90.00 90.00 90.00
Last column: nearest neighbours and their distance in Å.
Sites, in units of the cell vectors:
Tc: 0.0000 0.0000 0.0000  12 As 3.14
As: 0.0000 0.5000 0.5000  2 F 2.22
As: 0.5000 0.0000 0.5000  2 F 2.22
As: 0.5000 0.5000 0.0000  2 F 2.22
F: 0.5000 0.5000 0.5000  6 As 2.22

* formation energy without anion corrections: 2.93 eV/f.u.
* DOS at the Fermi energy: 5.70 states/eV/cell
* calculated density: 6.5 g/cm3
* total moment: 1.88 μB per formula unit
* polymorph energy (0 for the lowest one): 469 meV/atom

=====

No. 7
Entry from the Alexandria database: a geometry-optimized Tc3AsF structure (PBE).

abc: 4.2247 4.2247 4.2247
angles: 90.00 90.00 90.00
Last column: nearest neighbours and their distance in Å.
Sites, in units of the cell vectors:
Tc: 0.0000 0.0000 0.5000  2 F 2.11
Tc: 0.0000 0.5000 0.0000  2 F 2.11
Tc: 0.5000 0.0000 0.0000  2 F 2.11
As: 0.5000 0.5000 0.5000  12 Tc 2.99
F: 0.0000 0.0000 0.0000  6 Tc 2.11

* formation energy without anion corrections: 4.84 eV/f.u.
* DOS at the Fermi energy: 5.94 states/eV/cell
* calculated density: 8.5 g/cm3
* total moment: 3.73 μB per formula unit
* polymorph energy (0 for the lowest one): 0 meV/atom

=====

No. 8
Entry from the Alexandria database: a geometry-optimized TcAsF3 structure (PBE).

abc: 4.1587 4.1587 4.1587
angles: 90.00 90.00 90.00
Last column: nearest neighbours and their distance in Å.
Sites, in units of the cell vectors:
Tc: 0.0000 0.0000 0.0000  6 F 2.08
As: 0.5000 0.5000 0.5000  12 F 2.94
F: 0.0000 0.0000 0.5000  2 Tc 2.08
F: 0.0000 0.5000 0.0000  2 Tc 2.08
F: 0.5000 0.0000 0.0000  2 Tc 2.08

* formation energy without anion corrections: -2.73 eV/f.u.
* DOS at the Fermi energy: 5.39 states/eV/cell
* calculated density: 5.3 g/cm3
* total moment: 0.01 μB per formula unit
* polymorph energy (0 for the lowest one): 0 meV/atom

=====

No. 9
Entry from the Alexandria database: a geometry-optimized TcAs3F structure (PBE).

abc: 4.7779 4.7779 4.7779
angles: 90.00 90.00 90.00
Last column: nearest neighbours and their distance in Å.
Sites, in units of the cell vectors:
Tc: 0.0000 0.0000 0.0000  6 As 2.39
As: 0.0000 0.0000 0.5000  2 Tc 2.39
As: 0.0000 0.5000 0.0000  2 Tc 2.39
As: 0.5000 0.0000 0.0000  2 Tc 2.39
F: 0.5000 0.5000 0.5000  12 As 3.38

* formation energy without anion corrections: 0.59 eV/f.u.
* DOS at the Fermi energy: 4.64 states/eV/cell
* calculated density: 5.2 g/cm3
* total moment: 0.00 μB per formula unit
* polymorph energy (0 for the lowest one): 0 meV/atom

=====

No. 10
Entry from the Alexandria database: a geometry-optimized TeAsF2 structure (PBE).

abc: 4.4646 4.4646 4.4646
angles: 60.00 60.00 60.00
Last column: nearest neighbours and their distance in Å.
Sites, in units of the cell vectors:
Te: 0.0000 0.0000 0.0000  8 F 2.73
As: 0.5000 0.5000 0.5000  8 F 2.73
F: 0.2500 0.2500 0.2500  4 As 2.73, 4 Te 2.73
F: 0.7500 0.7500 0.7500  4 As 2.73, 4 Te 2.73

* formation energy without anion corrections: -1.99 eV/f.u.
* DOS at the Fermi energy: 2.59 states/eV/cell
* calculated density: 6.3 g/cm3
* total moment: 0.00 μB per formula unit
* polymorph energy (0 for the lowest one): 472 meV/atom

=====

No. 11
Entry from the Alexandria database: a geometry-optimized TeAsF2 structure (PBE).

abc: 9.3292 9.3292 9.3292
angles: 19.10 19.10 19.10
Last column: nearest neighbours and their distance in Å.
Sites, in units of the cell vectors:
Te: 0.0000 0.0000 0.0000  6 Te 3.10, 6 F 3.23
As: 0.5000 0.5000 0.5000  2 F 1.89
F: 0.4312 0.4312 0.4312  1 As 1.89
F: 0.5688 0.5688 0.5688  1 As 1.89

* formation energy without anion corrections: -3.87 eV/f.u.
* DOS at the Fermi energy: 1.65 states/eV/cell
* calculated density: 5.3 g/cm3
* total moment: 0.24 μB per formula unit
* polymorph energy (0 for the lowest one): 0 meV/atom

=====

No. 12
Entry from the Alexandria database: a geometry-optimized TeAsF2 structure (PBE).

abc: 8.6731 8.6731 8.6731
angles: 152.79 152.79 38.86
Last column: nearest neighbours and their distance in Å.
Sites, in units of the cell vectors:
Te: 0.0000 0.0000 0.0000  4 F 2.51
Te: 0.7500 0.2500 0.5000  4 F 2.51
As: 0.2500 0.7500 0.5000  4 F 2.50
As: 0.5000 0.5000 0.0000  4 F 2.50
F: 0.1277 0.6250 0.0027  2 As 2.50, 2 Te 2.51
F: 0.3750 0.3777 0.5027  2 As 2.50, 2 Te 2.51
F: 0.6223 0.1250 0.9973  2 As 2.50, 2 Te 2.51
F: 0.8750 0.8723 0.4973  2 As 2.50, 2 Te 2.51

* formation energy without anion corrections: -3.37 eV/f.u.
* DOS at the Fermi energy: 1.95 states/eV/cell
* calculated density: 5.9 g/cm3
* total moment: 0.00 μB per formula unit
* polymorph energy (0 for the lowest one): 125 meV/atom